(1)
{
  "formula": "YOs2Se",
  "functional": "PBE",
  "state": "relaxed",
  "lattice": [[-5.456, -7.462, 1.631], [-2.894, -8.864, 1.083], [-3.475, -7.842, 3.812]],
  "species": ["Os", "Os", "Se", "Y"],
  "fractional_positions": [[0.990, 0.990, 0.990], [0.250, 0.250, 0.250], [0.509, 0.509, 0.509], [0.750, 0.750, 0.750]],
  "final_energy_ev_per_atom": -7.63,
  "magnetic_moment_mub_per_fu": 0.00,
  "space_group": "R3m"
}


(2)
{
  "formula": "Y2OsSe",
  "functional": "PBE",
  "state": "relaxed",
  "lattice": [[0.658, 3.084, 3.841], [-3.802, 2.726, 1.677], [-2.053, -1.043, 4.404]],
  "species": ["Y", "Y", "Os", "Se"],
  "fractional_positions": [[0.250, 0.250, 0.250], [0.750, 0.750, 0.750], [0.500, 0.500, 0.500], [0.000, 0.000, 0.000]],
  "final_energy_ev_per_atom": -7.39,
  "relative_energy_mev_per_atom": 357.0,
  "magnetic_moment_mub_per_fu": 0.00,
  "space_group": "Fm-3m"
}